Compound: MgAgSb2Au
Source: Alexandria via LeMat-Bulk
Functional: PBEsol
Structure: relaxed

## Properties
ΔE_f (raw) ... 78 kJ/mol of atoms
Symmetry ... P4/mmm (123)

Cell: 4.8005 5.2130 5.2130 Å, 90.00 90.00 90.00°
Fractional coordinates of all 5 atoms:
1 Au 0.5000 0.5000 0.5000
2 Sb 0.0000 0.5000 0.0000
3 Sb 0.0000 0.0000 0.5000
4 Ag 0.5000 0.0000 0.0000
5 Mg 0.0000 0.0000 0.0000